The following is a DFT calculation (PBE) of crystalline SiP3Se at its relaxed geometry.

Values from the calculation:
The raw formation energy is 1.32 eV per atom. The calculation puts the density of states at the Fermi level at 4.4 states/eV/f.u. The symmetry is Pm-3m, No. 221.

The structure in POSCAR format:
```
SiP3Se
1.0
4.741 0.000 0.000
0.000 4.741 0.000
0.000 0.000 4.741
Si P Se
1 3 1
Cartesian
0.000 0.000 0.000 Si
0.000 2.370 2.370 P
2.370 0.000 2.370 P
2.370 2.370 0.000 P
2.370 2.370 2.370 Se
```

The following is a DFT calculation (PBE) of crystalline Sm6SiP2Se3 at its relaxed geometry.

Values from the calculation:
The raw formation energy is -1.64 eV per atom. The calculation puts the density of states at the Fermi level at 3.9 states/eV/f.u. The symmetry is C2/m, No. 12.

The structure in POSCAR format:
```
Sm6SiP2Se3
1.0
9.121 -2.076 0.000
9.121 2.076 0.000
-2.038 0.000 8.123
Sm Si P Se
6 1 2 3
Cartesian
-0.428 0.000 1.971 Sm
5.130 0.000 3.471 Sm
4.299 0.000 7.363 Sm
11.906 0.000 0.759 Sm
11.074 0.000 4.651 Sm
16.633 0.000 6.151 Sm
9.121 0.000 0.000 Si
2.372 0.000 2.720 P
13.833 0.000 5.403 P
1.354 0.000 6.760 Se
8.102 0.000 4.061 Se
14.851 0.000 1.363 Se
```

The following is a DFT calculation (PBE) of crystalline Sm6Si2PSe3 at its relaxed geometry.

Values from the calculation:
The raw formation energy is -1.48 eV per atom. The calculation puts the density of states at the Fermi level at 2.2 states/eV/f.u. The symmetry is C2/m, No. 12.

The structure in POSCAR format:
```
Sm6Si2PSe3
1.0
9.156 -2.089 0.000
9.156 2.089 0.000
-2.005 0.000 8.176
Sm Si P Se
6 2 1 3
Cartesian
-0.414 0.000 1.962 Sm
5.215 0.000 3.461 Sm
4.350 0.000 7.436 Sm
11.957 0.000 0.741 Sm
11.092 0.000 4.715 Sm
16.720 0.000 6.214 Sm
2.377 0.000 2.718 Si
13.929 0.000 5.458 Si
9.156 0.000 0.000 P
1.367 0.000 6.822 Se
8.153 0.000 4.088 Se
14.940 0.000 1.355 Se
```

The following is a DFT calculation (PBE) of crystalline SrSiP2Se8 at its relaxed geometry.

Values from the calculation:
The raw formation energy is -0.38 eV per atom. The symmetry is P-3, No. 147.

The structure in POSCAR format:
```
SrSiP2Se8
1.0
6.286 0.000 0.000
-3.143 5.444 0.000
0.000 0.000 9.039
Sr Si P Se
1 1 2 8
Cartesian
0.000 0.000 0.000 Sr
0.000 0.000 4.520 Si
0.000 3.629 6.645 P
3.143 1.815 2.395 P
-2.180 3.837 2.891 Se
0.911 1.638 2.891 Se
1.874 0.030 6.149 Se
0.000 3.629 8.814 Se
3.143 1.815 0.225 Se
1.269 5.414 2.891 Se
2.233 3.806 6.149 Se
5.323 1.607 6.149 Se
```

The following is a DFT calculation (PBE) of crystalline Tb4SiPSe2 at its relaxed geometry.

Values from the calculation:
The raw formation energy is -1.57 eV per atom. The calculation puts the density of states at the Fermi level at 1.3 states/eV/f.u. The symmetry is P2/m, No. 10.

The structure in POSCAR format:
```
Tb4SiPSe2
1.0
7.086 0.000 0.000
0.000 4.091 0.000
-2.356 0.000 6.744
Tb Si P Se
4 1 1 2
Cartesian
1.180 0.000 1.562 Tb
0.001 2.045 5.162 Tb
4.728 2.045 1.583 Tb
3.549 0.000 5.182 Tb
3.543 0.000 0.000 Si
0.000 2.045 0.000 P
-1.178 0.000 3.372 Se
2.365 2.045 3.372 Se
```

The following is a DFT calculation (PBE) of crystalline Tb8SiP3Se4 at its relaxed geometry.

Values from the calculation:
The raw formation energy is -1.68 eV per atom. The calculation puts the density of states at the Fermi level at 4.7 states/eV/f.u. The symmetry is R-3m, No. 166.

The structure in POSCAR format:
```
Tb8SiP3Se4
1.0
4.066 2.347 6.742
-4.066 2.347 6.742
0.000 -4.695 6.742
Tb Si P Se
8 1 3 4
Cartesian
0.000 0.000 4.912 Tb
-2.036 -1.176 11.674 Tb
0.000 -2.351 8.553 Tb
-2.036 1.176 8.553 Tb
2.036 -1.176 11.674 Tb
0.000 2.351 11.674 Tb
2.036 1.176 8.553 Tb
0.000 0.000 15.315 Tb
0.000 0.000 10.114 Si
-4.066 0.000 10.114 P
-2.033 1.174 3.371 P
2.033 1.174 3.371 P
0.000 0.000 0.000 Se
-2.033 -1.174 6.742 Se
-2.033 1.174 13.485 Se
0.000 2.347 6.742 Se
```

The following is a DFT calculation (PBE) of crystalline Tb6Si2PSe3 at its relaxed geometry.

Values from the calculation:
The raw formation energy is -1.48 eV per atom. The calculation puts the density of states at the Fermi level at 2.2 states/eV/f.u. The symmetry is C2/m, No. 12.

The structure in POSCAR format:
```
Tb6Si2PSe3
1.0
8.988 -2.051 0.000
8.988 2.051 0.000
-1.964 0.000 8.028
Tb Si P Se
6 2 1 3
Cartesian
-0.396 0.000 1.922 Tb
5.115 0.000 3.407 Tb
4.280 0.000 7.295 Tb
11.732 0.000 0.733 Tb
10.898 0.000 4.621 Tb
16.408 0.000 6.106 Tb
2.338 0.000 2.668 Si
13.675 0.000 5.360 Si
8.988 0.000 0.000 P
1.341 0.000 6.697 Se
8.006 0.000 4.014 Se
14.672 0.000 1.331 Se
```

The following is a DFT calculation (PBE) of crystalline Si60Te13P32Se3 at its relaxed geometry.

Values from the calculation:
The raw formation energy is -0.09 eV per atom. The symmetry is Pmmm, No. 47.

The structure in POSCAR format:
```
Si60Te13P32Se3
1.0
10.010 0.000 0.000
0.000 10.010 0.000
0.000 0.000 20.028
Si Te P Se
60 13 32 3
Cartesian
0.000 0.000 2.501 Si
0.000 0.000 7.495 Si
0.000 0.000 12.533 Si
0.000 0.000 17.528 Si
0.000 1.908 8.841 Si
0.000 1.908 11.187 Si
0.000 1.918 1.168 Si
0.000 1.918 18.860 Si
0.000 8.092 1.168 Si
0.000 8.092 18.860 Si
0.000 8.102 8.841 Si
0.000 8.102 11.187 Si
1.171 5.005 3.083 Si
1.173 5.005 6.916 Si
1.173 5.005 13.112 Si
1.171 5.005 16.945 Si
1.919 0.000 3.831 Si
1.921 0.000 6.167 Si
1.921 0.000 13.861 Si
1.919 0.000 16.198 Si
2.508 5.005 4.999 Si
2.508 5.005 15.030 Si
3.086 3.835 0.000 Si
3.086 6.175 0.000 Si
3.096 3.832 10.014 Si
3.096 6.178 10.014 Si
3.835 3.084 4.999 Si
3.835 3.084 15.029 Si
3.835 6.926 4.999 Si
3.835 6.926 15.029 Si
5.005 1.170 1.917 Si
5.005 1.169 8.084 Si
5.005 1.169 11.945 Si
5.005 1.170 18.111 Si
5.005 2.486 10.014 Si
5.005 2.504 0.000 Si
5.005 7.506 0.000 Si
5.005 7.524 10.014 Si
5.005 8.840 1.917 Si
5.005 8.841 8.084 Si
5.005 8.841 11.945 Si
5.005 8.840 18.111 Si
6.174 3.084 4.999 Si
6.174 3.084 15.029 Si
6.174 6.926 4.999 Si
6.174 6.926 15.029 Si
6.914 3.832 10.014 Si
6.914 6.178 10.014 Si
6.924 3.835 0.000 Si
6.924 6.175 0.000 Si
7.502 5.005 4.999 Si
7.502 5.005 15.030 Si
8.091 0.000 3.831 Si
8.089 0.000 6.167 Si
8.089 0.000 13.861 Si
8.091 0.000 16.198 Si
8.839 5.005 3.083 Si
8.836 5.005 6.916 Si
8.836 5.005 13.112 Si
8.839 5.005 16.945 Si
0.000 2.496 5.002 Te
0.000 2.496 15.026 Te
0.000 5.005 10.014 Te
0.000 7.514 5.002 Te
0.000 7.514 15.026 Te
2.493 0.000 0.000 Te
2.492 0.000 10.014 Te
5.005 5.005 2.501 Te
5.005 5.005 7.510 Te
5.005 5.005 12.518 Te
5.005 5.005 17.528 Te
7.516 0.000 0.000 Te
7.517 0.000 10.014 Te
1.842 3.162 1.840 P
1.842 3.162 18.188 P
1.842 6.848 1.840 P
1.842 6.848 18.188 P
1.848 3.157 8.164 P
1.848 3.157 11.864 P
1.848 6.853 8.164 P
1.848 6.853 11.864 P
3.162 1.842 3.158 P
3.166 1.839 6.839 P
3.166 1.839 13.189 P
3.162 1.842 16.870 P
3.162 8.168 3.158 P
3.166 8.171 6.839 P
3.166 8.171 13.189 P
3.162 8.168 16.870 P
6.848 1.842 3.158 P
6.844 1.839 6.839 P
6.844 1.839 13.189 P
6.848 1.842 16.870 P
6.848 8.168 3.158 P
6.844 8.171 6.839 P
6.844 8.171 13.189 P
6.848 8.168 16.870 P
8.162 3.157 8.164 P
8.162 3.157 11.864 P
8.162 6.853 8.164 P
8.162 6.853 11.864 P
8.168 3.162 1.840 P
8.168 3.162 18.188 P
8.168 6.848 1.840 P
8.168 6.848 18.188 P
0.000 5.005 0.000 Se
5.005 0.000 4.996 Se
5.005 0.000 15.032 Se
```

- The lowest raw formation energy belongs to which entry?
  Tb8SiP3Se4